Record 1
DFT (PBE) results for an optimized crystal structure of Li2PmBi2.

Cell lengths 4.7306, 4.7306, 20.5334 Å; angles 90.00, 90.00, 120.00 degrees
Space group R-3m (No. 166, hexagonal axes)
One atom of each set of equivalent atoms:
1 Li 0.0000 0.0000 0.1991
2 Pm 0.0000 0.0000 0.0000
3 Bi 0.0000 0.0000 0.4185

Results
As for the formation energy: -0.5841 eV/atom. As for the crystal system: trigonal.

=====

Record 2
DFT (PBE) results for an optimized crystal structure of Pm2Tl2Hg.

Cell lengths 11.661, 4.856, 11.295 Å; angles 90.00, 115.67, 90.00 degrees
Space group C2/m (No. 12)
One atom of each set of equivalent atoms:
1 Pm 0.019 0.000 0.329
2 Pm 0.177 0.000 0.095
3 Tl 0.039 0.500 0.885
4 Tl 0.146 0.500 0.547
5 Hg 0.232 0.500 0.305

Results
As for the formation energy: -0.3384 eV/atom. The value obtained for the excess energy over the best structure of this formula in the dataset is 0.0 kJ/mol of atoms. As for the crystal system: monoclinic.

=====

Record 3
DFT (PBE) results for an optimized crystal structure of In2ReSi.

Cell lengths 4.733, 4.733, 3.308 Å; angles 90.00, 90.00, 90.00 degrees
Space group P4/mmm (No. 123)
One atom of each set of equivalent atoms:
1 In 0.000 0.500 0.000
2 Re 0.000 0.000 0.500
3 Si 0.500 0.500 0.500

Results
The formation energy (no corrections) is 0.742 eV per atom. As for the crystal system: tetragonal.

=====

Taking the records one at a time from the top gives density of states at the Fermi level values of 5.631; 14.606; 2.327 states/eV per cell.